DFT (PBE) results for a geometry-optimized TbPr4Dy2 structure.

Cell and atoms, written as POSCAR:
```
TbPr4Dy2
1.0
6.258 0.000 0.000
0.000 6.717 0.000
-2.950 0.000 11.396
Tb Pr Dy
2 8 4
Cartesian
0.458 1.679 1.836
2.850 5.038 9.560
-2.328 1.679 9.834
-0.378 1.679 5.121
0.111 3.421 8.152
0.111 6.654 8.152
3.197 0.063 3.244
3.197 3.295 3.244
3.686 5.038 6.276
5.637 5.038 1.562
0.547 5.038 4.845
2.462 5.038 0.045
0.847 1.679 11.351
2.761 1.679 6.551
```

Calculated values
D(E_F): 21.27 states/eV/cell
calculated formation energy: 2.83 kcal/mol of atoms
relative energy among the computed polymorphs: 60 meV per atom

=====

DFT (PBE) results for a geometry-optimized TbPr6Dy5 structure.

Cell and atoms, written as POSCAR:
```
TbPr6Dy5
1.0
3.155 -5.465 0.000
3.155 5.465 0.000
-2.097 0.000 11.712
Tb Pr Dy
1 6 5
Cartesian
0.000 0.000 0.000
1.052 1.822 2.929
0.007 0.000 8.781
1.052 -1.822 2.929
3.162 1.822 8.782
4.206 0.000 2.931
3.162 -1.822 8.782
2.107 3.642 5.856
3.155 1.821 0.000
2.107 0.000 5.856
3.155 -1.821 0.000
2.107 -3.642 5.856
```

Calculated values
D(E_F): 13.39 states/eV/cell
calculated formation energy: 0.25 kcal/mol of atoms
relative energy among the computed polymorphs: 0 meV per atom

=====

DFT (PBE) results for a geometry-optimized Tb7PrDy12 structure.

Cell and atoms, written as POSCAR:
```
Tb7PrDy12
1.0
-5.633 5.633 5.633
5.633 -5.633 5.633
5.633 5.633 -5.633
Tb Pr Dy
7 1 12
Cartesian
2.816 2.816 -2.816
2.816 -2.816 2.816
5.633 0.000 0.000
-2.816 2.816 2.816
0.000 5.633 0.000
0.000 0.000 5.633
2.816 2.816 2.816
0.000 0.000 0.000
5.633 2.771 -2.771
5.633 -2.771 2.771
2.771 5.633 -2.771
2.862 2.862 0.000
2.862 0.000 2.862
2.771 -2.771 5.633
5.633 2.771 2.771
0.000 2.862 2.862
-2.771 5.633 2.771
-2.771 2.771 5.633
2.771 5.633 2.771
2.771 2.771 5.633
```

Calculated values
D(E_F): 23.76 states/eV/cell
calculated formation energy: 15.79 kcal/mol of atoms
relative energy among the computed polymorphs: 389 meV per atom